Record 1
IrBr2Cl: relaxed, PBE-GGA.

Calculated values
The space-group type is No. 123. The value obtained for the energy above the most stable polymorph in this dataset is 1.2754 eV per atom. For the total energy, the calculation gives -2.421 eV per atom. As for the volume: 78 Å³ per cell. For the magnetization, the calculation gives 0.0 μB/f.u.

Cell lengths 5.032, 5.032, 3.091 Å; angles 90.00, 90.00, 90.00 degrees
Atoms (fractional coordinates):
Ir  0.000  0.500  0.500
Br  0.000  0.000  0.000
Br  0.500  0.500  0.000
Cl  0.500  0.000  0.500

=====

Record 2
Bi2PbSe: relaxed, PBE-GGA.

Calculated values
The space-group type is No. 225. The value obtained for the energy above the most stable polymorph in this dataset is 0.0000 eV per atom. For the total energy, the calculation gives -3.641 eV per atom. As for the volume: 114 Å³ per cell. For the magnetization, the calculation gives 0.0 μB/f.u.

Cell lengths 5.444, 5.444, 5.444 Å; angles 60.00, 60.00, 60.00 degrees
Atoms (fractional coordinates):
Pb  0.500  0.500  0.500
Bi  0.250  0.250  0.250
Bi  0.750  0.750  0.750
Se  0.000  0.000  0.000

=====

Record 3
MgMo2Ru: relaxed, PBE-GGA.

Calculated values
The space-group type is No. 99. For the formation enthalpy at 0 K, the calculation gives 196 meV per atom. For the total energy, the calculation gives -7.937 eV per atom. As for the volume: 64 Å³ per cell. For the magnetization, the calculation gives 0.0 μB/f.u.

Cell lengths 3.147, 3.147, 6.455 Å; angles 90.00, 90.00, 90.00 degrees
Atoms (fractional coordinates):
Mg  0.500  0.500  0.740
Mo  0.000  0.000  0.022
Mo  0.500  0.500  0.253
Ru  0.000  0.000  0.484

=====

Record 4
Mn2FePdN: relaxed, PBE-GGA.

Calculated values
The space-group type is No. 123. For the total energy, the calculation gives -8.086 eV per atom. As for the volume: 54 Å³ per cell. For the magnetization, the calculation gives 0.0 μB/f.u.

Cell lengths 3.775, 3.775, 3.774 Å; angles 90.00, 90.00, 90.00 degrees
Atoms (fractional coordinates):
Mn  0.000  0.500  0.000
Mn  0.500  0.000  0.000
Fe  0.000  0.000  0.500
Pd  0.500  0.500  0.500
N  0.000  0.000  0.000

=====

Record 5
AlAgGe2O6: relaxed, PBE-GGA.

Calculated values
The space-group type is No. 15. For the total energy, the calculation gives -6.277 eV per atom. As for the volume: 293 Å³ per cell. For the magnetization, the calculation gives 0.0 μB/f.u.

Cell lengths 5.510, 7.618, 7.618 Å; angles 94.24, 74.35, 74.35 degrees
Atoms (fractional coordinates):
Al  0.250  0.219  0.781
Al  0.750  0.781  0.219
Ag  0.250  0.899  0.101
Ag  0.750  0.101  0.899
Ge  0.315  0.782  0.617
Ge  0.185  0.383  0.218
Ge  0.685  0.218  0.383
Ge  0.815  0.617  0.782
O  0.189  0.000  0.763
O  0.311  0.237  0.000
O  0.811  0.000  0.237
O  0.689  0.763  0.000
O  0.457  0.801  0.390
O  0.043  0.610  0.199
O  0.543  0.199  0.610
O  0.957  0.390  0.801
O  0.032  0.708  0.625
O  0.468  0.375  0.292
O  0.968  0.292  0.375
O  0.532  0.625  0.708

=====

Record 6
TaTcNi2: relaxed, PBE-GGA.

Calculated values
The space-group type is No. 160. For the formation enthalpy at 0 K, the calculation gives 152 meV per atom. The value obtained for the energy above the most stable polymorph in this dataset is 0.3674 eV per atom. For the total energy, the calculation gives -8.294 eV per atom. As for the volume: 56 Å³ per cell. For the magnetization, the calculation gives 0.0 μB/f.u.

Cell lengths 8.822, 8.822, 8.822 Å; angles 17.77, 17.77, 17.77 degrees
Atoms (fractional coordinates):
Ni  0.998  0.998  0.998
Ni  0.255  0.255  0.255
Ta  0.504  0.504  0.504
Tc  0.743  0.743  0.743

=====

Record 7
Pm3Pr3Dy: relaxed, PBE-GGA.

Calculated values
The space-group type is No. 176. For the formation enthalpy at 0 K, the calculation gives 28 meV per atom. The value obtained for the energy above the most stable polymorph in this dataset is 0.0000 eV per atom. For the total energy, the calculation gives -4.713 eV per atom. As for the volume: 491 Å³ per cell. For the magnetization, the calculation gives 0.0 μB/f.u.

Cell lengths 5.897, 9.809, 9.809 Å; angles 120.00, 90.00, 90.00 degrees
Atoms (fractional coordinates):
Pm  0.250  0.808  0.762
Pm  0.250  0.238  0.046
Pm  0.250  0.954  0.192
Pm  0.750  0.192  0.238
Pm  0.750  0.762  0.954
Pm  0.750  0.046  0.808
Pr  0.750  0.620  0.525
Pr  0.750  0.475  0.095
Pr  0.750  0.905  0.380
Pr  0.250  0.380  0.475
Pr  0.250  0.525  0.905
Pr  0.250  0.095  0.620
Dy  0.250  0.667  0.333
Dy  0.750  0.333  0.667

=====

Record 8
TiNb2AgHg: relaxed, PBE-GGA.

Calculated values
The space-group type is No. 123. For the formation enthalpy at 0 K, the calculation gives 1728 meV per atom. The value obtained for the energy above the most stable polymorph in this dataset is 0.2680 eV per atom. For the total energy, the calculation gives -4.510 eV per atom. As for the volume: 129 Å³ per cell. For the magnetization, the calculation gives 3.0 μB/f.u.

Cell lengths 5.103, 4.947, 5.103 Å; angles 90.00, 90.00, 90.00 degrees
Each line ends with the local moment (μB).
Atoms (fractional coordinates):
Nb  0.000  0.000  0.500  0.65
Nb  0.500  0.000  0.000  0.64
Hg  0.000  0.000  0.000  0.07
Ag  0.500  0.500  0.500  0.01
Ti  0.000  0.500  0.000  0.97

=====

Record 9
CaScMo2: relaxed, PBE-GGA.

Calculated values
The space-group type is No. 1. For the formation enthalpy at 0 K, the calculation gives 414 meV per atom. The value obtained for the energy above the most stable polymorph in this dataset is 0.2073 eV per atom. For the total energy, the calculation gives -7.085 eV per atom. As for the volume: 85 Å³ per cell. For the magnetization, the calculation gives 0.0 μB/f.u.

Cell lengths 5.527, 4.529, 5.526 Å; angles 114.20, 132.17, 90.16 degrees
Atoms (fractional coordinates):
Sc  0.523  0.480  0.961
Mo  0.968  0.030  0.059
Mo  0.268  0.734  0.468
Ca  0.741  0.257  0.512

=====

Record 10
CsBa3B: relaxed, PBE-GGA.

Calculated values
The space-group type is No. 221. For the formation enthalpy at 0 K, the calculation gives 1635 meV per atom. The value obtained for the energy above the most stable polymorph in this dataset is 1.1711 eV per atom. For the total energy, the calculation gives -1.025 eV per atom. As for the volume: 268 Å³ per cell. For the magnetization, the calculation gives 0.0 μB/f.u.

Cell lengths 6.448, 6.448, 6.448 Å; angles 90.00, 90.00, 90.00 degrees
Atoms (fractional coordinates):
Cs  0.000  0.000  0.000
B  0.500  0.500  0.500
Ba  0.000  0.500  0.000
Ba  0.000  0.000  0.500
Ba  0.500  0.000  0.000